# 1
A plane-wave DFT calculation with GGA-PBE was carried out for Ga3PbBr12 after structural relaxation.

Cell lengths 11.9347, 11.9347, 13.9234 Å; angles 64.62, 64.62, 60.00 degrees
With the nearest neighbours (Å) after each atom.
Sites, in units of the cell vectors:
Ga 0.6956 0.3322 0.9891  4 Br 2.33-2.40
Ga 0.1956 0.4831 0.4891  4 Br 2.33-2.40
Ga 0.8322 0.1956 0.4891  4 Br 2.33-2.40
Ga 0.3322 0.9831 0.9891  4 Br 2.33-2.40
Ga 0.9831 0.6956 0.9891  4 Br 2.33-2.40
Ga 0.4831 0.8322 0.4891  4 Br 2.33-2.40
Pb 0.0064 0.0064 0.9809  6 Br 3.10
Pb 0.5064 0.5064 0.4809  6 Br 3.10
Br 0.1304 0.0018 0.1383  1 Ga 2.40
Br 0.2792 0.2540 0.4986  1 Ga 2.36
Br 0.9501 0.9700 0.4894  1 Ga 2.33
Br 0.8363 0.2525 0.8285  1 Ga 2.39
Br 0.3363 0.5826 0.3285  1 Ga 2.39
Br 0.4501 0.0905 0.9894  1 Ga 2.33
Br 0.7792 0.4682 0.9986  1 Ga 2.36
Br 0.9700 0.5905 0.4894  1 Ga 2.33
Br 0.6304 0.2295 0.6383  1 Ga 2.40
Br 0.9682 0.2792 0.4986  1 Ga 2.36
Br 0.7525 0.3363 0.3285  1 Ga 2.39
Br 0.2295 0.5018 0.6383  1 Ga 2.40
Br 0.0905 0.4700 0.9894  1 Ga 2.33
Br 0.7295 0.1304 0.1383  1 Ga 2.40
Br 0.2525 0.0826 0.8285  1 Ga 2.39
Br 0.4682 0.7540 0.9986  1 Ga 2.36
Br 0.7540 0.7792 0.9986  1 Ga 2.36
Br 0.4700 0.4501 0.9894  1 Ga 2.33
Br 0.5018 0.6304 0.6383  1 Ga 2.40
Br 0.0826 0.8363 0.8285  1 Ga 2.39
Br 0.5826 0.7525 0.3285  1 Ga 2.39
Br 0.0018 0.7295 0.1383  1 Ga 2.40
Br 0.2540 0.9682 0.4986  1 Ga 2.36
Br 0.5905 0.9501 0.4894  1 Ga 2.33

Values from the calculation:
Fermi-level density of states = 0.537 states/eV/atom
formation energy (no corrections) = -0.75 eV per atom

# 2
A plane-wave DFT calculation with GGA-PBE was carried out for RbPtBr after structural relaxation.

Cell lengths 11.0775, 6.5308, 5.0681 Å; angles 90.00, 90.00, 90.00 degrees
With the nearest neighbours (Å) after each atom.
Sites, in units of the cell vectors:
Br 0.0000 0.0000 0.0000  2 Pt 2.60
Br 0.5000 0.5000 0.5000  2 Pt 2.60
Br 0.5000 0.0000 0.5000  2 Pt 2.60
Br 0.0000 0.5000 0.0000  2 Pt 2.60
Rb 0.7499 0.2500 0.7511  2 Pt 3.29, 4 Br 3.45-3.46
Rb 0.7501 0.7500 0.2511  2 Pt 3.29, 4 Br 3.45-3.46
Rb 0.2501 0.7500 0.2489  2 Pt 3.29, 4 Br 3.45-3.46
Rb 0.2499 0.2500 0.7489  2 Pt 3.29, 4 Br 3.45-3.46
Pt 0.4997 0.2500 0.1000  2 Br 2.60
Pt 0.0003 0.7500 0.6000  2 Br 2.60
Pt 0.5003 0.7500 0.9000  2 Br 2.60
Pt 0.9997 0.2500 0.4000  2 Br 2.60

Values from the calculation:
E above lowest polymorph = 527.7 meV/atom
Fermi-level density of states = 0.000 states/eV/atom
formation energy (no corrections) = -0.13 eV per atom

# 3
A plane-wave DFT calculation with GGA-PBE was carried out for BaRhO2 after structural relaxation.

Cell lengths 4.4465, 4.4465, 4.4465 Å; angles 60.00, 60.00, 60.00 degrees
With the nearest neighbours (Å) after each atom.
Sites, in units of the cell vectors:
Rh 0.0000 0.0000 0.0000  8 O 2.72
Ba 0.5000 0.5000 0.5000  8 O 2.72
O 0.2500 0.2500 0.2500  4 Ba 2.72, 4 Rh 2.72
O 0.7500 0.7500 0.7500  4 Rh 2.72, 4 Ba 2.72

Values from the calculation:
Fermi-level density of states = 0.104 states/eV/atom
formation energy (no corrections) = -0.68 eV per atom

# 4
A plane-wave DFT calculation with GGA-PBE was carried out for MgV2Hg after structural relaxation.

Cell lengths 7.4806, 7.4806, 5.8913 Å; angles 50.59, 50.59, 90.00 degrees
With the nearest neighbours (Å) after each atom.
Sites, in units of the cell vectors:
Mg 0.5000 0.5000 0.0000  2 Hg 2.59, 4 V 2.76
Mg 0.2500 0.7500 0.5000  2 Hg 2.59, 4 V 2.76
Hg 0.0000 0.0000 0.0000  2 Mg 2.59, 4 V 2.68
Hg 0.7500 0.2500 0.5000  2 Mg 2.59, 4 V 2.68
V 0.6328 0.1250 0.2500  2 V 2.60, 2 Hg 2.68, 2 Mg 2.76
V 0.1172 0.6250 0.2500  2 V 2.60, 2 Hg 2.68, 2 Mg 2.76
V 0.3750 0.3672 0.7500  2 V 2.60, 2 Hg 2.68, 2 Mg 2.76
V 0.8750 0.8828 0.7500  2 V 2.60, 2 Hg 2.68, 2 Mg 2.76

Values from the calculation:
formation energy = 0.80 eV per atom
E above lowest polymorph = 248.6 meV/atom
Fermi-level density of states = 0.926 states/eV/atom

# 5
A plane-wave DFT calculation with GGA-PBE was carried out for InHgPb2 after structural relaxation.

Cell lengths 6.4801, 6.4801, 6.4801 Å; angles 146.61, 128.17, 63.06 degrees
With the nearest neighbours (Å) after each atom.
Sites, in units of the cell vectors:
Pb 0.9953 0.9953 0.0000  2 Hg 3.29, 2 In 3.37, 4 Pb 3.39
Pb 0.5047 0.5047 0.0000  2 Hg 3.29, 2 In 3.37, 4 Pb 3.39
Hg 0.7500 0.2500 0.5000  4 Pb 3.29, 4 In 3.39
In 0.2500 0.7500 0.5000  4 Pb 3.37, 4 Hg 3.39, 2 In 3.72

Values from the calculation:
formation energy = 0.04 eV per atom
E above lowest polymorph = 32.2 meV/atom
Fermi-level density of states = 0.570 states/eV/atom

# 6
A plane-wave DFT calculation with GGA-PBE was carried out for CaPtN2 after structural relaxation.

Cell lengths 4.8433, 4.8433, 6.3286 Å; angles 67.50, 67.50, 90.00 degrees
With the nearest neighbours (Å) after each atom.
Sites, in units of the cell vectors:
Ca 0.5000 0.5000 0.0000  4 N 2.36
Ca 0.2500 0.7500 0.5000  4 N 2.36
Pt 0.0000 0.0000 0.0000  4 N 2.01
Pt 0.7500 0.2500 0.5000  4 N 2.01
N 0.6895 0.1250 0.2500  2 Pt 2.01
N 0.0605 0.6250 0.2500  2 Pt 2.01
N 0.3750 0.3105 0.7500  2 Pt 2.01
N 0.8750 0.9395 0.7500  2 Pt 2.01

Values from the calculation:
E above lowest polymorph = 35.0 meV/atom
Fermi-level density of states = 0.949 states/eV/atom
formation energy (no corrections) = 0.17 eV per atom

# 7
A plane-wave DFT calculation with GGA-PBE was carried out for RbZrSeBr2 after structural relaxation.

Cell lengths 5.4828, 5.4828, 5.2536 Å; angles 90.00, 90.00, 90.00 degrees
With the nearest neighbours (Å) after each atom.
Sites, in units of the cell vectors:
Br 0.0000 0.5000 0.0000  2 Zr 2.74
Br 0.5000 0.0000 0.0000  2 Zr 2.74
Se 0.0000 0.0000 0.5000  2 Zr 2.63
Rb 0.5000 0.5000 0.5000  8 Br 3.80, 4 Se 3.88
Zr 0.0000 0.0000 0.0000  2 Se 2.63, 4 Br 2.74

Values from the calculation:
E above lowest polymorph = 0.0 meV/atom
Fermi-level density of states = 0.339 states/eV/atom
formation energy (no corrections) = -1.29 eV per atom

# 8
A plane-wave DFT calculation with GGA-PBE was carried out for LiMgCu3 after structural relaxation.

Cell lengths 4.3653, 7.1234, 4.6381 Å; angles 108.34, 90.00, 90.00 degrees
With the nearest neighbours (Å) after each atom.
Sites, in units of the cell vectors:
Li 0.2500 0.9102 0.5454  8 Cu 2.55-2.81, 2 Li 2.63, 2 Mg 2.72-2.75
Li 0.7500 0.0898 0.4546  8 Cu 2.55-2.81, 2 Li 2.63, 2 Mg 2.72-2.75
Mg 0.7500 0.3048 0.0552  10 Cu 2.66-2.76, 2 Li 2.72-2.75
Mg 0.2500 0.6952 0.9448  10 Cu 2.66-2.76, 2 Li 2.72-2.75
Cu 0.2500 0.1030 0.1114  4 Li 2.55-2.77, 5 Cu 2.65-2.69, 3 Mg 2.67-2.76
Cu 0.7500 0.8970 0.8886  4 Li 2.55-2.77, 5 Cu 2.65-2.69, 3 Mg 2.67-2.76
Cu 0.7500 0.5059 0.6586  6 Cu 2.49-2.67, 4 Mg 2.66-2.71
Cu 0.2500 0.4941 0.3414  6 Cu 2.49-2.67, 4 Mg 2.66-2.71
Cu 0.2500 0.2996 0.7026  5 Cu 2.49-2.69, 3 Li 2.64-2.69, 3 Mg 2.69-2.72
Cu 0.7500 0.7004 0.2974  5 Cu 2.49-2.69, 3 Li 2.64-2.69, 3 Mg 2.69-2.72

Values from the calculation:
formation energy = -0.07 eV per atom
E above lowest polymorph = 0.0 meV/atom
Fermi-level density of states = 0.352 states/eV/atom

# 9
A plane-wave DFT calculation with GGA-PBE was carried out for DyTm2Au3 after structural relaxation.

Cell lengths 3.5466, 3.5466, 10.8187 Å; angles 90.00, 90.00, 90.00 degrees
With the nearest neighbours (Å) after each atom.
Sites, in units of the cell vectors:
Dy 0.5000 0.5000 0.5000  8 Au 3.12
Tm 0.5000 0.5000 0.8349  8 Au 3.07-3.08
Tm 0.5000 0.5000 0.1651  8 Au 3.07-3.08
Au 0.0000 0.0000 0.0000  8 Tm 3.08
Au 0.0000 0.0000 0.6716  4 Tm 3.07, 4 Dy 3.12
Au 0.0000 0.0000 0.3284  4 Tm 3.07, 4 Dy 3.12

Values from the calculation:
formation energy = -0.89 eV per atom
Fermi-level density of states = 0.296 states/eV/atom

# 10
A plane-wave DFT calculation with GGA-PBE was carried out for CaTl3Hg4 after structural relaxation.

Cell lengths 5.2509, 4.2527, 12.1398 Å; angles 122.22, 102.49, 90.00 degrees
With the nearest neighbours (Å) after each atom.
Sites, in units of the cell vectors:
Ca 0.5000 0.0000 0.0000  4 Hg 3.20-3.24, 4 Tl 3.38
Tl 0.0000 0.5000 0.0000  4 Ca 3.38, 4 Tl 3.43, 4 Hg 3.57
Tl 0.1357 0.4121 0.2713  8 Hg 3.20-3.41, 2 Tl 3.43
Tl 0.8643 0.5879 0.7287  8 Hg 3.20-3.41, 2 Tl 3.43
Hg 0.3782 0.1362 0.7564  2 Hg 3.18-3.22, 2 Ca 3.20-3.24, 4 Tl 3.37-3.41
Hg 0.6218 0.8638 0.2436  2 Hg 3.18-3.22, 2 Ca 3.20-3.24, 4 Tl 3.37-3.41
Hg 0.7423 0.7245 0.4846  6 Hg 3.18-3.40, 4 Tl 3.20-3.37
Hg 0.2577 0.2755 0.5154  6 Hg 3.18-3.40, 4 Tl 3.20-3.37

Values from the calculation:
formation energy = -0.14 eV per atom
E above lowest polymorph = 21.2 meV/atom
Fermi-level density of states = 0.373 states/eV/atom

# 11
A plane-wave DFT calculation with GGA-PBE was carried out for AcNd2Ru2 after structural relaxation.

Cell lengths 4.7272, 4.7272, 7.0593 Å; angles 111.21, 111.21, 89.92 degrees
With the nearest neighbours (Å) after each atom.
Sites, in units of the cell vectors:
Ac 0.0000 0.0000 0.0000  6 Ru 3.35-3.56
Nd 0.2468 0.7531 0.5000  4 Ru 2.94-3.02
Nd 0.7532 0.2469 0.5000  4 Ru 2.94-3.02
Ru 0.5748 0.5748 0.2007  1 Ru 2.48
Ru 0.4252 0.4252 0.7993  1 Ru 2.48

Values from the calculation:
formation energy = -0.04 eV per atom
Fermi-level density of states = 0.792 states/eV/atom

# 12
A plane-wave DFT calculation with GGA-PBE was carried out for Ti8C2N3 after structural relaxation.

Cell lengths 5.1892, 6.0721, 6.7256 Å; angles 116.83, 120.37, 90.00 degrees
With the nearest neighbours (Å) after each atom.
Sites, in units of the cell vectors:
Ti 0.0172 0.6229 0.2458  2 N 2.08, 1 C 2.10
Ti 0.9828 0.3771 0.7542  2 N 2.08, 1 C 2.10
Ti 0.9932 0.1178 0.2356  3 N 2.09-2.11, 1 C 2.14
Ti 0.0068 0.8822 0.7644  3 N 2.09-2.11, 1 C 2.14
Ti 0.5114 0.6346 0.7505  2 N 2.09-2.12, 2 C 2.11-2.12
Ti 0.5114 0.1159 0.7505  2 N 2.09-2.12, 2 C 2.11-2.12
Ti 0.4886 0.8841 0.2495  2 N 2.09-2.12, 2 C 2.11-2.12
Ti 0.4886 0.3654 0.2495  2 N 2.09-2.12, 2 C 2.11-2.12
C 0.4919 0.2522 0.5044  6 Ti 2.10-2.14
C 0.5081 0.7478 0.4956  6 Ti 2.10-2.14
N 0.5000 0.0000 0.0000  6 Ti 2.11-2.12
N 0.0000 0.2506 0.0000  6 Ti 2.08-2.09
N 0.0000 0.7494 0.0000  6 Ti 2.08-2.09

Values from the calculation:
Fermi-level density of states = 0.535 states/eV/atom
formation energy (no corrections) = -1.18 eV per atom